Material: NiSbBr
Method: DFT, GGA-PBE
State: relaxed

Values from the calculation:
E above lowest polymorph: 848 meV per atom
E_form (uncorrected): 66 kJ per mole of atoms
space-group type: F-43m
DOS(E_F): 1.3 states/eV/cell
spin magnetization: 0.000 μB per formula unit

a b c (Å): 4.780 4.780 4.780
angles (deg): 60.00 60.00 60.00
Fractional positions:
Ni  0.500  0.500  0.500
Sb  0.250  0.250  0.250
Br  0.000  0.000  0.000

Material: La3Nd4Ho8
Method: DFT, GGA-PBE
State: relaxed

Values from the calculation:
energy of formation from the pure elements: 352.6 meV/atom
space-group type: C2/m
DOS(E_F): 31.0 states/eV/cell
spin magnetization: 0.001 μB per formula unit

a b c (Å): 6.819 9.370 9.370
angles (deg): 87.51 111.34 111.34
Fractional positions:
La  0.500  0.500  0.000
La  0.500  0.000  0.500
La  0.500  0.500  0.500
Nd  0.500  0.000  0.000
Nd  0.000  0.500  0.000
Nd  0.000  0.000  0.000
Nd  0.000  0.000  0.500
Ho  0.527  0.267  0.267
Ho  0.000  0.640  0.360
Ho  0.004  0.267  0.267
Ho  0.500  0.742  0.258
Ho  0.500  0.258  0.742
Ho  0.996  0.733  0.733
Ho  0.000  0.360  0.640
Ho  0.473  0.733  0.733

Material: LaThTePb
Method: DFT, GGA-PBE
State: relaxed

Values from the calculation:
E_form (uncorrected): -72 kJ per mole of atoms
space-group type: F-43m
DOS(E_F): 3.2 states/eV/cell
spin magnetization: 0.000 μB per formula unit

a b c (Å): 5.564 5.564 5.564
angles (deg): 60.00 60.00 60.00
Fractional positions:
Pb  0.500  0.500  0.500
Te  0.000  0.000  0.000
Th  0.750  0.750  0.750
La  0.250  0.250  0.250

Material: TiNbTe
Method: DFT, GGA-PBE
State: relaxed

Values from the calculation:
E above lowest polymorph: 47 meV per atom
E_form (uncorrected): -31 kJ per mole of atoms
space-group type: C2/m
DOS(E_F): 7.4 states/eV/cell
spin magnetization: 0.000 μB per formula unit

a b c (Å): 7.295 3.580 10.247
angles (deg): 90.00 109.56 90.00
Fractional positions:
Nb  0.562  0.000  0.868
Nb  0.438  0.000  0.132
Nb  0.562  0.500  0.368
Nb  0.438  0.500  0.632
Te  0.160  0.000  0.669
Te  0.840  0.000  0.331
Te  0.160  0.500  0.169
Te  0.840  0.500  0.831
Ti  0.723  0.000  0.587
Ti  0.277  0.000  0.413
Ti  0.723  0.500  0.087
Ti  0.277  0.500  0.913